1.
DFT (PBE) results for crystalline CuSiBr4 at its relaxed geometry.

Crystal system = orthorhombic
Total magnetization = 0.1 μB per formula unit
Uncorrected formation energy = -0.319 eV/atom
Offset from the most stable computed form = 0.0 kJ per mole of atoms
Symmetry = No. 16

a = 6.156 Å, b = 6.298 Å, c = 9.941 Å
α = 90.00°, β = 90.00°, γ = 90.00°
Fractional coordinates of all 12 atoms:
1 Cu 0.000 0.000 0.000
2 Cu 0.500 0.000 0.500
3 Si 0.000 0.500 0.000
4 Si 0.000 0.000 0.500
5 Br 0.212 0.283 0.123
6 Br 0.212 0.717 0.877
7 Br 0.788 0.283 0.877
8 Br 0.788 0.717 0.123
9 Br 0.724 0.785 0.655
10 Br 0.724 0.215 0.345
11 Br 0.276 0.785 0.345
12 Br 0.276 0.215 0.655

2.
DFT (PBE) results for crystalline AcThScCd at its relaxed geometry.

Crystal system = cubic
Total magnetization = 0.0 μB per formula unit
Calculated formation energy = 0.777 eV/f.u.
Symmetry = No. 216

a = 5.535 Å, b = 5.535 Å, c = 5.535 Å
α = 60.00°, β = 60.00°, γ = 60.00°
Fractional coordinates of all 4 atoms:
1 Sc 0.000 0.000 0.000
2 Ac 0.250 0.250 0.250
3 Th 0.500 0.500 0.500
4 Cd 0.750 0.750 0.750

3.
DFT (PBE) results for crystalline NiSn2As2 at its relaxed geometry.

Crystal system = tetragonal
Total magnetization = 0.0 μB per formula unit
Calculated formation energy = 1.344 eV/f.u.
Offset from the most stable computed form = 31.3 kJ per mole of atoms
Symmetry = No. 139

a = 3.588 Å, b = 3.588 Å, c = 8.910 Å
α = 78.38°, β = 78.38°, γ = 90.00°
Fractional coordinates of all 5 atoms:
1 Ni 0.000 0.000 0.000
2 As 0.750 0.250 0.500
3 As 0.250 0.750 0.500
4 Sn 0.412 0.412 0.176
5 Sn 0.588 0.588 0.824

4.
DFT (PBE) results for crystalline ThGeRh at its relaxed geometry.

Crystal system = hexagonal
Total magnetization = 0.0 μB per formula unit
Calculated formation energy = -2.776 eV/f.u.
Symmetry = No. 187

a = 3.704 Å, b = 4.444 Å, c = 4.444 Å
α = 120.00°, β = 90.00°, γ = 90.00°
Fractional coordinates of all 3 atoms:
1 Ge 0.167 0.000 0.000
2 Rh 0.167 0.333 0.667
3 Th 0.667 0.667 0.333

5.
DFT (PBE) results for crystalline CaSi2Ru at its relaxed geometry.

Crystal system = monoclinic
Total magnetization = 0.0 μB per formula unit
Uncorrected formation energy = 0.104 eV/atom
Symmetry = No. 12

a = 6.080 Å, b = 4.786 Å, c = 3.063 Å
α = 87.29°, β = 64.57°, γ = 119.85°
Fractional coordinates of all 4 atoms:
1 Ca 0.000 0.500 0.500
2 Ru 0.500 0.500 0.000
3 Si 0.000 0.000 0.000
4 Si 0.500 0.000 0.500

6.
DFT (PBE) results for crystalline BaPAu3 at its relaxed geometry.

Crystal system = cubic
Total magnetization = 2.0 μB per formula unit
Calculated formation energy = 5.714 eV/f.u.
Offset from the most stable computed form = 156.5 kJ per mole of atoms
Symmetry = No. 221

a = 6.161 Å, b = 6.161 Å, c = 6.161 Å
α = 90.00°, β = 90.00°, γ = 90.00°
Fractional coordinates of all 5 atoms:
1 P 0.500 0.500 0.500
2 Au 0.000 0.500 0.000
3 Au 0.000 0.000 0.500
4 Au 0.500 0.000 0.000
5 Ba 0.000 0.000 0.000

7.
DFT (PBE) results for crystalline Li2CrTc at its relaxed geometry.

Crystal system = trigonal
Total magnetization = 2.3 μB per formula unit
Calculated formation energy = 1.992 eV/f.u.
Offset from the most stable computed form = 25.0 kJ per mole of atoms
Symmetry = No. 166

a = 9.679 Å, b = 9.679 Å, c = 9.679 Å
α = 15.44°, β = 15.44°, γ = 15.44°
Fractional coordinates of all 4 atoms:
1 Cr 0.750 0.750 0.750
2 Li 0.999 0.999 0.999
3 Li 0.501 0.501 0.501
4 Tc 0.250 0.250 0.250

8.
DFT (PBE) results for crystalline TaTi2CdO8 at its relaxed geometry.

Crystal system = orthorhombic
Total magnetization = 0.9 μB per formula unit
Uncorrected formation energy = -2.408 eV/atom
Symmetry = No. 65

a = 4.792 Å, b = 4.790 Å, c = 6.284 Å
α = 89.98°, β = 89.98°, γ = 88.96°
Fractional coordinates of all 12 atoms:
1 Ta 0.000 0.000 0.000
2 Ti 0.500 0.500 0.738
3 Ti 0.500 0.500 0.262
4 Cd 0.000 0.000 0.500
5 O 0.213 0.786 0.218
6 O 0.700 0.701 0.000
7 O 0.787 0.213 0.218
8 O 0.787 0.214 0.782
9 O 0.300 0.299 0.000
10 O 0.213 0.787 0.782
11 O 0.675 0.676 0.500
12 O 0.325 0.324 0.500

9.
DFT (PBE) results for crystalline CdHg2AsI at its relaxed geometry.

Crystal system = tetragonal
Total magnetization = 0.0 μB per formula unit
Uncorrected formation energy = -0.035 eV/atom
Symmetry = No. 123

a = 5.495 Å, b = 5.495 Å, c = 5.309 Å
α = 90.00°, β = 90.00°, γ = 90.00°
Fractional coordinates of all 5 atoms:
1 I 0.500 0.500 0.500
2 As 0.000 0.000 0.000
3 Hg 0.000 0.500 0.000
4 Hg 0.500 0.000 0.000
5 Cd 0.000 0.000 0.500

10.
DFT (PBE) results for crystalline Hf6TlFe2 at its relaxed geometry.

Crystal system = orthorhombic
Total magnetization = 0.0 μB per formula unit
Calculated formation energy = -0.827 eV/f.u.
Symmetry = No. 71

a = 7.790 Å, b = 7.790 Å, c = 7.790 Å
α = 102.60°, β = 111.87°, γ = 114.17°
Fractional coordinates of all 18 atoms:
1 Hf 0.489 0.304 0.186
2 Hf 0.511 0.696 0.814
3 Hf 0.882 0.696 0.186
4 Hf 0.118 0.304 0.814
5 Hf 0.213 0.765 0.978
6 Hf 0.787 0.235 0.022
7 Hf 0.787 0.765 0.553
8 Hf 0.213 0.235 0.447
9 Hf 0.310 0.980 0.670
10 Hf 0.690 0.020 0.330
11 Hf 0.690 0.360 0.670
12 Hf 0.310 0.640 0.330
13 Tl 0.000 0.500 0.500
14 Tl 0.000 0.000 0.000
15 Fe 0.500 0.367 0.867
16 Fe 0.500 0.633 0.133
17 Fe 0.337 0.000 0.337
18 Fe 0.663 0.000 0.663

11.
DFT (PBE) results for crystalline RbLiYAu2 at its relaxed geometry.

Crystal system = tetragonal
Total magnetization = 0.0 μB per formula unit
Calculated formation energy = 0.575 eV/f.u.
Symmetry = No. 123

a = 5.629 Å, b = 5.923 Å, c = 5.629 Å
α = 90.00°, β = 90.00°, γ = 90.00°
Fractional coordinates of all 5 atoms:
1 Y 0.000 0.000 0.000
2 Au 0.000 0.000 0.500
3 Au 0.500 0.000 0.000
4 Rb 0.500 0.500 0.500
5 Li 0.000 0.500 0.000

12.
DFT (PBE) results for crystalline PmNd3Os8 at its relaxed geometry.

Crystal system = trigonal
Total magnetization = 0.0 μB per formula unit
Calculated formation energy = -1.062 eV/f.u.
Symmetry = No. 160

a = 5.446 Å, b = 5.446 Å, c = 9.418 Å
α = 73.19°, β = 73.19°, γ = 60.00°
Fractional coordinates of all 12 atoms:
1 Pm 0.874 0.874 0.379
2 Nd 0.374 0.374 0.879
3 Nd 0.999 0.999 0.003
4 Nd 0.499 0.499 0.504
5 Os 0.929 0.441 0.189
6 Os 0.430 0.941 0.688
7 Os 0.441 0.441 0.189
8 Os 0.941 0.941 0.688
9 Os 0.191 0.191 0.427
10 Os 0.691 0.691 0.927
11 Os 0.441 0.929 0.189
12 Os 0.941 0.430 0.688